This record from Alexandria describes a crystal of BaSr4Ir relaxed with PBEsol. The functional is SCAN.

Values from the calculation:
Raw total energy: -32.352 eV/atom
Theoretical density: 4.83 g/cm³
DFT formation energy: 0.94 eV per atom

```
data_BaSr4Ir
_chemical_formula_sum 'Ba4 Sr16 Ir4'
_cell_length_a 9.778
_cell_length_b 9.778
_cell_length_c 9.778
_cell_angle_alpha 90.00
_cell_angle_beta 90.00
_cell_angle_gamma 90.00
_space_group_name_H-M_alt 'F -4 3 m'
_space_group_IT_number 216
_space_group_name_Hall 'F -4 2 3'
loop_
_atom_site_label
_atom_site_type_symbol
_atom_site_fract_x
_atom_site_fract_y
_atom_site_fract_z
_atom_site_occupancy
Ba1 Ba 0.000 0.000 0.000 1
Sr1 Sr 0.123 0.123 0.623 1
Ir1 Ir 0.250 0.250 0.250 1
```



This record from Alexandria describes a crystal of BaSrIr2 relaxed with PBEsol. The functional is SCAN.

Values from the calculation:
Raw total energy: -50.631 eV/atom
Theoretical density: 10.99 g/cm³
DFT formation energy: 0.38 eV per atom
Energy relative to the lowest polymorph listed for this composition: 0.721 eV/atom

```
data_BaSrIr2
_chemical_formula_sum 'Ba1 Sr1 Ir2'
_cell_length_a 3.298
_cell_length_b 3.298
_cell_length_c 8.465
_cell_angle_alpha 90.00
_cell_angle_beta 90.00
_cell_angle_gamma 90.00
_space_group_name_H-M_alt 'P 4/m m m'
_space_group_IT_number 123
_space_group_name_Hall '-P 4 2'
loop_
_atom_site_label
_atom_site_type_symbol
_atom_site_fract_x
_atom_site_fract_y
_atom_site_fract_z
_atom_site_occupancy
Ba1 Ba 0.000 0.000 0.000 1
Sr1 Sr 0.000 0.000 0.500 1
Ir1 Ir 0.500 0.500 0.259 1
```



This record from Alexandria describes a crystal of BaSrIr2 relaxed with PBEsol. The functional is SCAN.

Values from the calculation:
Raw total energy: -50.294 eV/atom
Theoretical density: 10.87 g/cm³
DFT formation energy: 0.71 eV per atom
Energy relative to the lowest polymorph listed for this composition: 1.058 eV/atom

```
data_BaSrIr2
_chemical_formula_sum 'Ba3 Sr3 Ir6'
_cell_length_a 3.3985
_cell_length_b 3.3985
_cell_length_c 27.9311
_cell_angle_alpha 90.00
_cell_angle_beta 90.00
_cell_angle_gamma 120.00
_space_group_name_H-M_alt 'R -3 m'
_space_group_IT_number 166
_space_group_name_Hall '-R 3 2"'
loop_
_atom_site_label
_atom_site_type_symbol
_atom_site_fract_x
_atom_site_fract_y
_atom_site_fract_z
_atom_site_occupancy
Ba1 Ba 0.0000 0.0000 0.0000 1
Sr1 Sr 0.0000 0.0000 0.5000 1
Ir1 Ir 0.0000 0.0000 0.2480 1
```



This record from Alexandria describes a crystal of BaSr2Ir relaxed with PBEsol. The functional is SCAN.

Values from the calculation:
Raw total energy: -38.907 eV/atom
Theoretical density: 4.86 g/cm³
DFT formation energy: -0.11 eV per atom
Energy relative to the lowest polymorph listed for this composition: 0.022 eV/atom

```
data_BaSr2Ir
_chemical_formula_sum 'Ba2 Sr4 Ir2'
_cell_length_a 6.175
_cell_length_b 12.888
_cell_length_c 4.338
_cell_angle_alpha 90.00
_cell_angle_beta 90.00
_cell_angle_gamma 90.00
_space_group_name_H-M_alt 'C m m m'
_space_group_IT_number 65
_space_group_name_Hall '-C 2 2'
loop_
_atom_site_label
_atom_site_type_symbol
_atom_site_fract_x
_atom_site_fract_y
_atom_site_fract_z
_atom_site_occupancy
Ba1 Ba 0.000 0.000 0.000 1
Sr1 Sr 0.000 0.352 0.500 1
Ir1 Ir 0.000 0.500 0.000 1
```



This record from Alexandria describes a crystal of BaSr2Ir relaxed with PBEsol. The functional is SCAN.

Values from the calculation:
Raw total energy: -38.789 eV/atom
Theoretical density: 5.76 g/cm³
DFT formation energy: 0.01 eV per atom
Energy relative to the lowest polymorph listed for this composition: 0.140 eV/atom

```
data_BaSr2Ir
_chemical_formula_sum 'Ba1 Sr2 Ir1'
_cell_length_a 3.692
_cell_length_b 3.692
_cell_length_c 10.675
_cell_angle_alpha 90.00
_cell_angle_beta 90.00
_cell_angle_gamma 90.00
_space_group_name_H-M_alt 'P 4/m m m'
_space_group_IT_number 123
_space_group_name_Hall '-P 4 2'
loop_
_atom_site_label
_atom_site_type_symbol
_atom_site_fract_x
_atom_site_fract_y
_atom_site_fract_z
_atom_site_occupancy
Ba1 Ba 0.000 0.000 0.000 1
Sr1 Sr 0.500 0.500 0.343 1
Ir1 Ir 0.000 0.000 0.500 1
```



This record from Alexandria describes a crystal of BaSrIr2 relaxed with PBEsol. The functional is SCAN.

Values from the calculation:
Raw total energy: -51.352 eV/atom
Theoretical density: 8.82 g/cm³
DFT formation energy: -0.35 eV per atom
Energy relative to the lowest polymorph listed for this composition: 0.000 eV/atom

```
data_BaSrIr2
_chemical_formula_sum 'Ba2 Sr2 Ir4'
_cell_length_a 4.529
_cell_length_b 4.826
_cell_length_c 10.498
_cell_angle_alpha 90.00
_cell_angle_beta 90.00
_cell_angle_gamma 90.00
_space_group_name_H-M_alt 'A m m 2'
_space_group_IT_number 38
_space_group_name_Hall 'A 2 -2'
loop_
_atom_site_label
_atom_site_type_symbol
_atom_site_fract_x
_atom_site_fract_y
_atom_site_fract_z
_atom_site_occupancy
Ba1 Ba 0.000 0.000 0.000 1
Sr1 Sr 0.500 0.000 0.707 1
Ir1 Ir 0.000 0.000 0.309 1
Ir2 Ir 0.500 0.000 0.384 1
```



This record from Alexandria describes a crystal of BaSr2Ir relaxed with PBEsol. The functional is SCAN.

Values from the calculation:
Raw total energy: -38.929 eV/atom
Theoretical density: 4.78 g/cm³
DFT formation energy: -0.13 eV per atom
Energy relative to the lowest polymorph listed for this composition: 0.000 eV/atom

```
data_BaSr2Ir
_chemical_formula_sum 'Ba2 Sr4 Ir2'
_cell_length_a 4.333
_cell_length_b 5.961
_cell_length_c 13.572
_cell_angle_alpha 90.00
_cell_angle_beta 90.00
_cell_angle_gamma 90.00
_space_group_name_H-M_alt 'A m m 2'
_space_group_IT_number 38
_space_group_name_Hall 'A 2 -2'
loop_
_atom_site_label
_atom_site_type_symbol
_atom_site_fract_x
_atom_site_fract_y
_atom_site_fract_z
_atom_site_occupancy
Ba1 Ba 0.000 0.000 0.000 1
Sr1 Sr 0.000 0.000 0.290 1
Sr2 Sr 0.500 0.000 0.654 1
Ir1 Ir 0.500 0.000 0.148 1
```



This record from Alexandria describes a crystal of Ba3SrIr relaxed with PBEsol. The functional is SCAN.

Values from the calculation:
Raw total energy: -42.478 eV/atom
Theoretical density: 4.94 g/cm³
DFT formation energy: -0.07 eV per atom

```
data_Ba3SrIr
_chemical_formula_sum 'Ba3 Sr1 Ir1'
_cell_length_a 6.151
_cell_length_b 6.151
_cell_length_c 6.151
_cell_angle_alpha 90.00
_cell_angle_beta 90.00
_cell_angle_gamma 90.00
_space_group_name_H-M_alt 'P m -3 m'
_space_group_IT_number 221
_space_group_name_Hall '-P 4 2 3'
loop_
_atom_site_label
_atom_site_type_symbol
_atom_site_fract_x
_atom_site_fract_y
_atom_site_fract_z
_atom_site_occupancy
Ba1 Ba 0.000 0.000 0.500 1
Sr1 Sr 0.500 0.500 0.500 1
Ir1 Ir 0.000 0.000 0.000 1
```



This record from Alexandria describes a crystal of BaSrZn2Ir relaxed with PBEsol. The functional is SCAN.

Values from the calculation:
Raw total energy: -30.345 eV/atom
Theoretical density: 5.41 g/cm³
DFT formation energy: 1.65 eV per atom

```
data_BaSrZn2Ir
_chemical_formula_sum 'Ba1 Sr1 Zn2 Ir1'
_cell_length_a 5.162
_cell_length_b 5.162
_cell_length_c 6.317
_cell_angle_alpha 90.00
_cell_angle_beta 90.00
_cell_angle_gamma 90.00
_space_group_name_H-M_alt 'P 4/m m m'
_space_group_IT_number 123
_space_group_name_Hall '-P 4 2'
loop_
_atom_site_label
_atom_site_type_symbol
_atom_site_fract_x
_atom_site_fract_y
_atom_site_fract_z
_atom_site_occupancy
Ba1 Ba 0.000 0.000 0.000 1
Sr1 Sr 0.000 0.000 0.500 1
Zn1 Zn 0.000 0.500 0.500 1
Ir1 Ir 0.500 0.500 0.000 1
```



This record from Alexandria describes a crystal of Ba2TaIr relaxed with PBEsol. The functional is SCAN.

Values from the calculation:
Raw total energy: -52.934 eV/atom
Theoretical density: 10.56 g/cm³
DFT formation energy: 1.26 eV per atom
Energy relative to the lowest polymorph listed for this composition: 0.253 eV/atom

```
data_Ba2TaIr
_chemical_formula_sum 'Ba6 Ta3 Ir3'
_cell_length_a 3.3068
_cell_length_b 3.3068
_cell_length_c 32.2638
_cell_angle_alpha 90.00
_cell_angle_beta 90.00
_cell_angle_gamma 120.00
_space_group_name_H-M_alt 'R -3 m'
_space_group_IT_number 166
_space_group_name_Hall '-R 3 2"'
loop_
_atom_site_label
_atom_site_type_symbol
_atom_site_fract_x
_atom_site_fract_y
_atom_site_fract_z
_atom_site_occupancy
Ba1 Ba 0.0000 0.0000 0.2425 1
Ta1 Ta 0.0000 0.0000 0.0000 1
Ir1 Ir 0.0000 0.0000 0.5000 1
```



This record from Alexandria describes a crystal of BaTa3Ir relaxed with PBEsol. The functional is SCAN.

Values from the calculation:
Raw total energy: -61.172 eV/atom
Theoretical density: 11.84 g/cm³
DFT formation energy: 0.91 eV per atom

```
data_BaTa3Ir
_chemical_formula_sum 'Ba1 Ta3 Ir1'
_cell_length_a 4.965
_cell_length_b 4.965
_cell_length_c 4.965
_cell_angle_alpha 90.00
_cell_angle_beta 90.00
_cell_angle_gamma 90.00
_space_group_name_H-M_alt 'P m -3 m'
_space_group_IT_number 221
_space_group_name_Hall '-P 4 2 3'
loop_
_atom_site_label
_atom_site_type_symbol
_atom_site_fract_x
_atom_site_fract_y
_atom_site_fract_z
_atom_site_occupancy
Ba1 Ba 0.000 0.000 0.000 1
Ta1 Ta 0.000 0.500 0.500 1
Ir1 Ir 0.500 0.500 0.500 1
```



This record from Alexandria describes a crystal of Ba2TaIr relaxed with PBEsol. The functional is SCAN.

Values from the calculation:
Raw total energy: -53.186 eV/atom
Theoretical density: 10.97 g/cm³
DFT formation energy: 1.01 eV per atom
Energy relative to the lowest polymorph listed for this composition: 0.000 eV/atom

```
data_Ba2TaIr
_chemical_formula_sum 'Ba4 Ta2 Ir2'
_cell_length_a 4.220
_cell_length_b 4.220
_cell_length_c 11.019
_cell_angle_alpha 90.00
_cell_angle_beta 90.00
_cell_angle_gamma 90.00
_space_group_name_H-M_alt 'I 4/m m m'
_space_group_IT_number 139
_space_group_name_Hall '-I 4 2'
loop_
_atom_site_label
_atom_site_type_symbol
_atom_site_fract_x
_atom_site_fract_y
_atom_site_fract_z
_atom_site_occupancy
Ba1 Ba 0.000 0.500 0.250 1
Ta1 Ta 0.000 0.000 0.000 1
Ir1 Ir 0.000 0.000 0.500 1
```



This record from Alexandria describes a crystal of Ba2TcIr relaxed with PBEsol. The functional is SCAN.

Values from the calculation:
Raw total energy: -45.381 eV/atom
Theoretical density: 9.13 g/cm³
DFT formation energy: 0.93 eV per atom

```
data_Ba2TcIr
_chemical_formula_sum 'Ba2 Tc1 Ir1'
_cell_length_a 3.566
_cell_length_b 4.381
_cell_length_c 6.579
_cell_angle_alpha 90.00
_cell_angle_beta 90.00
_cell_angle_gamma 90.00
_space_group_name_H-M_alt 'P m m m'
_space_group_IT_number 47
_space_group_name_Hall '-P 2 2'
loop_
_atom_site_label
_atom_site_type_symbol
_atom_site_fract_x
_atom_site_fract_y
_atom_site_fract_z
_atom_site_occupancy
Ba1 Ba 0.000 0.000 0.243 1
Tc1 Tc 0.500 0.500 0.500 1
Ir1 Ir 0.500 0.500 0.000 1
```



This record from Alexandria describes a crystal of Ba4TcIr relaxed with PBEsol. The functional is SCAN.

Values from the calculation:
Raw total energy: -42.577 eV/atom
Theoretical density: 7.17 g/cm³
DFT formation energy: 1.48 eV per atom

```
data_Ba4TcIr
_chemical_formula_sum 'Ba16 Tc4 Ir4'
_cell_length_a 9.197
_cell_length_b 9.197
_cell_length_c 9.197
_cell_angle_alpha 90.00
_cell_angle_beta 90.00
_cell_angle_gamma 90.00
_space_group_name_H-M_alt 'F -4 3 m'
_space_group_IT_number 216
_space_group_name_Hall 'F -4 2 3'
loop_
_atom_site_label
_atom_site_type_symbol
_atom_site_fract_x
_atom_site_fract_y
_atom_site_fract_z
_atom_site_occupancy
Ba1 Ba 0.124 0.124 0.376 1
Tc1 Tc 0.000 0.000 0.000 1
Ir1 Ir 0.250 0.250 0.750 1
```



This record from Alexandria describes a crystal of BaZrTcIr2 relaxed with PBEsol. The functional is SCAN.

Values from the calculation:
Raw total energy: -48.299 eV/atom
Theoretical density: 10.24 g/cm³
DFT formation energy: 1.20 eV per atom

```
data_BaZrTcIr2
_chemical_formula_sum 'Ba1 Zr1 Tc1 Ir2'
_cell_length_a 4.735
_cell_length_b 4.735
_cell_length_c 5.145
_cell_angle_alpha 90.00
_cell_angle_beta 90.00
_cell_angle_gamma 90.00
_space_group_name_H-M_alt 'P 4/m m m'
_space_group_IT_number 123
_space_group_name_Hall '-P 4 2'
loop_
_atom_site_label
_atom_site_type_symbol
_atom_site_fract_x
_atom_site_fract_y
_atom_site_fract_z
_atom_site_occupancy
Ba1 Ba 0.000 0.000 0.000 1
Zr1 Zr 0.500 0.500 0.000 1
Tc1 Tc 0.000 0.000 0.500 1
Ir1 Ir 0.000 0.500 0.500 1
```